[1]
Here is crystalline YNpPt6 at its relaxed geometry from Alexandria. Energies are from PBE.

a b c (Å): 4.141 4.141 8.277
angles (deg): 90.00 90.00 90.00
Space group P4/mmm (No. 123)
Inequivalent atoms, fractional coordinates:
Y: 0.000 0.000 0.000 x1
Np: 0.000 0.000 0.500 x1
Pt: 0.000 0.500 0.254 x4
Pt: 0.500 0.500 0.000 x1
Pt: 0.500 0.500 0.500 x1

Results
DOS at the Fermi energy, states/eV per atom: 1.7794
Energy of formation, meV per atom: -821
Energy, eV per atom: -7.78
Calculated volume, Å³ per atom: 17.7
M_tot, Bohr magnetons per cell: 2.73



[2]
Here is crystalline YNpPt2 at its relaxed geometry from Alexandria. Energies are from PBE.

a b c (Å): 5.020 5.020 3.396
angles (deg): 90.00 90.00 90.00
Space group P4/mmm (No. 123)
Inequivalent atoms, fractional coordinates:
Y: 0.000 0.000 0.000 x1
Np: 0.500 0.500 0.000 x1
Pt: 0.000 0.500 0.500 x2

Results
DOS at the Fermi energy, states/eV per atom: 2.0924
Energy of formation, meV per atom: -788
Energy, eV per atom: -8.66
Calculated volume, Å³ per atom: 21.4
M_tot, Bohr magnetons per cell: 4.05



[3]
Here is crystalline NpZn12Pt6 at its relaxed geometry from Alexandria. Energies are from PBE.

a b c (Å): 11.3633 11.3633 8.6929
angles (deg): 90.00 90.00 120.00
Space group R-3m (No. 166, hexagonal axes)
Inequivalent atoms, fractional coordinates:
Np: 0.0000 0.0000 0.0000 x3
Zn: 0.0000 0.3898 0.5000 x18
Zn: 0.0851 0.1702 0.3068 x18
Pt: 0.0472 0.5236 0.2451 x18

Results
DOS at the Fermi energy, states/eV per atom: 0.7730
Energy of formation, meV per atom: -290
Energy, eV per atom: -3.68
Calculated volume, Å³ per atom: 17.1
M_tot, Bohr magnetons per cell: 13.17



[4]
Here is crystalline NpZn2Pt3 at its relaxed geometry from Alexandria. Energies are from PBE.

a b c (Å): 4.980 14.335 2.852
angles (deg): 90.00 90.00 90.00
Space group Pmmn (No. 59, origin choice 2)
Inequivalent atoms, fractional coordinates:
Np: 0.250 0.250 0.001 x2
Zn: 0.250 0.590 0.000 x4
Pt: 0.250 0.066 0.500 x4
Pt: 0.250 0.750 0.499 x2

Results
DOS at the Fermi energy, states/eV per atom: 1.1750
Energy of formation, meV per atom: -439
Energy, eV per atom: -6.04
Calculated volume, Å³ per atom: 17.0
M_tot, Bohr magnetons per cell: 7.96



[5]
Here is crystalline Np2Zn16Pt at its relaxed geometry from Alexandria. Energies are from PBE.

a b c (Å): 8.9930 8.9930 13.1457
angles (deg): 90.00 90.00 120.00
Space group R3m (No. 160, hexagonal axes)
Inequivalent atoms, fractional coordinates:
Np: 0.0000 0.0000 0.0000 x3
Np: 0.0000 0.0000 0.3243 x3
Zn: 0.0000 0.0000 0.7621 x3
Zn: 0.9999 0.2915 0.6581 x18
Zn: 0.0008 0.5004 0.1588 x9
Zn: 0.0048 0.5024 0.8096 x9
Zn: 0.1718 0.3436 0.8428 x9
Pt: 0.0000 0.0000 0.5546 x3

Results
DOS at the Fermi energy, states/eV per atom: 1.0621
Energy of formation, meV per atom: -117
Energy, eV per atom: -2.87
Calculated volume, Å³ per atom: 16.2
M_tot, Bohr magnetons per cell: 25.38



[6]
Here is crystalline NpZn2Pt2 at its relaxed geometry from Alexandria. Energies are from PBE.

a b c (Å): 3.844 3.844 12.601
angles (deg): 90.00 90.00 90.00
Space group I4/mmm (No. 139)
Inequivalent atoms, fractional coordinates:
Np: 0.000 0.000 0.000 x2
Zn: 0.000 0.500 0.250 x4
Pt: 0.000 0.000 0.393 x4

Results
DOS at the Fermi energy, states/eV per atom: 2.0446
Energy of formation, meV per atom: -471
Energy, eV per atom: -5.98
Calculated volume, Å³ per atom: 18.6
M_tot, Bohr magnetons per cell: 7.96